{"formula": "SrIr2Ru", "functional": "SCAN", "state": "single point on PBEsol structure", "lattice_angstrom": [[-2.1436, -0.2090, -1.8363], [2.9043, -3.7102, -0.7868], [-3.2610, -2.2415, 4.0620]], "species": ["Ru", "Ir", "Ir", "Sr"], "fractional_positions": [[0.4843, 0.9686, 0.4194], [0.0150, 0.0300, 0.0652], [0.7508, 0.5015, 0.2621], [0.2500, 0.4999, 0.7533]], "m_tot_mub_per_fu": 0.0, "vol_a3_per_atom": 18.05, "crystal_system": "monoclinic", "e_above_lowest_polymorph_kj_per_mol_fu": 44}

{"formula": "SrIr2Ru", "functional": "SCAN", "state": "single point on PBEsol structure", "lattice_angstrom": [[2.8459, 0.0000, 0.0000], [0.0000, 2.8459, 0.0000], [0.0000, 0.0000, 8.2990]], "species": ["Ir", "Ru", "Ir", "Sr"], "fractional_positions": [[0.0000, 0.0000, 0.2047], [0.5000, 0.5000, 0.0000], [0.0000, 0.0000, 0.7953], [0.5000, 0.5000, 0.5000]], "m_tot_mub_per_fu": 0.0, "vol_a3_per_atom": 16.80, "crystal_system": "tetragonal", "e_above_lowest_polymorph_kj_per_mol_fu": 0}

{"formula": "TaIrRu2", "functional": "SCAN", "state": "single point on PBEsol structure", "lattice_angstrom": [[-3.6001, -1.3741, 0.0670], [-0.0407, -0.0811, -3.8529], [3.2076, -2.9037, 1.9547]], "species": ["Ta", "Ir", "Ru", "Ru"], "fractional_positions": [[0.0000, 0.0000, 0.0000], [0.2500, 0.7500, 0.5000], [0.7500, 0.2500, 0.5000], [0.5000, 0.5000, 0.0000]], "m_tot_mub_per_fu": 0.0, "vol_a3_per_atom": 14.44, "crystal_system": "tetragonal", "e_above_lowest_polymorph_kj_per_mol_fu": 29}

{"formula": "TaIr2Ru", "functional": "SCAN", "state": "single point on PBEsol structure", "lattice_angstrom": [[-1.1535, 2.1180, 3.6676], [-0.9070, -2.2646, 3.6493], [2.7572, 0.1408, 3.4126]], "species": ["Ir", "Ru", "Ir", "Ta"], "fractional_positions": [[0.7500, 0.7500, 0.7500], [0.5000, 0.5000, 0.5000], [0.0000, 0.0000, 0.0000], [0.2500, 0.2500, 0.2500]], "m_tot_mub_per_fu": 2.0, "vol_a3_per_atom": 14.95, "crystal_system": "cubic", "e_above_lowest_polymorph_kj_per_mol_fu": 266}

{"formula": "TaIr2Ru", "functional": "SCAN", "state": "single point on PBEsol structure", "lattice_angstrom": [[2.7723, 0.0000, 0.0000], [0.0000, 4.4064, 0.0000], [0.0000, 0.0000, 4.7728]], "species": ["Ta", "Ir", "Ir", "Ru"], "fractional_positions": [[0.5000, 0.5000, 0.2116], [0.0000, 0.0000, 0.0384], [0.0000, 0.5000, 0.6976], [0.5000, 0.0000, 0.5524]], "m_tot_mub_per_fu": 0.0, "vol_a3_per_atom": 14.58, "crystal_system": "orthorhombic", "e_above_lowest_polymorph_kj_per_mol_fu": 65}

{"formula": "TaIr2Ru", "functional": "SCAN", "state": "single point on PBEsol structure", "lattice_angstrom": [[-1.8532, 3.2675, 0.9188], [0.8606, -0.5604, 3.7283], [3.2925, 1.9967, -0.4599]], "species": ["Ir", "Ta", "Ir", "Ru"], "fractional_positions": [[0.0000, 0.5000, 0.0000], [0.0000, 0.0000, 0.5000], [0.5000, 0.0000, 0.0000], [0.5000, 0.5000, 0.5000]], "m_tot_mub_per_fu": 0.0, "vol_a3_per_atom": 14.50, "crystal_system": "tetragonal", "e_above_lowest_polymorph_kj_per_mol_fu": 0}

{"formula": "TaIr3Ru", "functional": "SCAN", "state": "single point on PBEsol structure", "lattice_angstrom": [[-2.5294, 2.1538, 3.1282], [-0.4240, -3.8951, 2.3389], [3.7742, 1.0058, 2.3593]], "species": ["Ir", "Ru", "Ir", "Ir", "Ta"], "fractional_positions": [[0.5000, 0.0000, 0.0000], [0.0000, 0.0000, 0.0000], [0.0000, 0.5000, 0.0000], [0.0000, 0.0000, 0.5000], [0.5000, 0.5000, 0.5000]], "m_tot_mub_per_fu": 0.9, "vol_a3_per_atom": 19.00, "crystal_system": "cubic"}

{"formula": "TaIrRu2", "functional": "SCAN", "state": "single point on PBEsol structure", "lattice_angstrom": [[3.8543, 0.0000, 0.0000], [0.0000, 3.8636, 0.0000], [0.0000, 0.0000, 3.8636]], "species": ["Ta", "Ru", "Ru", "Ir"], "fractional_positions": [[0.5000, 0.5000, 0.5000], [0.0000, 0.0000, 0.5000], [0.0000, 0.5000, 0.0000], [0.5000, 0.0000, 0.0000]], "m_tot_mub_per_fu": 0.0, "vol_a3_per_atom": 14.38, "crystal_system": "tetragonal", "e_above_lowest_polymorph_kj_per_mol_fu": 0}

| no. | DFT formation energy (eV/atom) | raw total energy (eV/atom) | Fermi-level density of states (states/eV/cell) |
| --- | --- | --- | --- |
| 1 | 0.323 | -49.50 | 3.6 |
| 2 | 0.209 | -49.62 | 2.7 |
| 3 | -0.400 | -52.23 | 3.1 |
| 4 | 0.003 | -60.90 | 4.8 |
| 5 | -0.518 | -61.42 | 2.1 |
| 6 | -0.686 | -61.59 | 2.6 |
| 7 | 1.969 | -60.97 | 6.2 |
| 8 | -0.474 | -52.31 | 3.7 |